Entry 1:
# PmNd2Se, relaxed, DFT PBE
data_PmNd2Se
_chemical_formula_sum 'Pm3 Nd6 Se3'
_cell_length_a 3.9419
_cell_length_b 3.9419
_cell_length_c 29.0668
_cell_angle_alpha 90.00
_cell_angle_beta 90.00
_cell_angle_gamma 120.00
_space_group_name_H-M_alt 'R 3 m'
_space_group_IT_number 160
_space_group_name_Hall 'R 3 -2"'
loop_
_atom_site_label
_atom_site_fract_x
_atom_site_fract_y
_atom_site_fract_z
Pm1 0.0000 0.0000 0.0000
Nd1 0.0000 0.0000 0.5657
Nd2 0.0000 0.0000 0.7684
Se1 0.0000 0.0000 0.1672
# density = 6.53 Mg/m³
# formation energy (no corrections) = -0.80 eV/atom
# calculated total energy = -5.244 eV/atom

=====

Entry 2:
# NpCr2C3, relaxed, DFT PBE
data_NpCr2C3
_chemical_formula_sum 'Np4 Cr8 C12'
_cell_length_a 6.659
_cell_length_b 9.021
_cell_length_c 4.818
_cell_angle_alpha 90.00
_cell_angle_beta 90.00
_cell_angle_gamma 90.00
_space_group_name_H-M_alt 'C m c m'
_space_group_IT_number 63
_space_group_name_Hall '-C 2c 2'
loop_
_atom_site_label
_atom_site_fract_x
_atom_site_fract_y
_atom_site_fract_z
Np1 0.000 0.199 0.250
Cr1 0.188 0.500 0.000
C1 0.000 0.402 0.750
C2 0.108 0.086 0.750
# calculated formation energy = 0.28 eV/atom
# density = 8.65 Mg/m³
# calculated total energy = -9.700 eV/atom